[1]
! Si2MoBr | Alexandria | PBE-GGA | relaxed; values from VASP
! - formation energy without anion corrections (eV per atom) = 0.80
! - magnetic moment (μB/f.u.) = 0.0
&SYSTEM
  ibrav = 0, nat = 8, ntyp = 3
/
ATOMIC_SPECIES
Mo 95.94 Mo.upf
Si 28.09 Si.upf
Br 79.90 Br.upf
CELL_PARAMETERS angstrom
-3.277 1.426 4.832
4.491 -1.785 3.573
2.805 5.173 4.114
ATOMIC_POSITIONS crystal
Mo 0.000 0.000 0.000
Si 0.063 0.625 0.250
Mo 0.750 0.250 0.500
Si 0.687 0.125 0.250
Br 0.500 0.500 0.000
Br 0.250 0.750 0.500
Si 0.875 0.937 0.750
Si 0.375 0.313 0.750

***

[2]
! Si2MoBr | Alexandria | PBE-GGA | relaxed; values from VASP
! - formation energy without anion corrections (eV per atom) = 0.91
! - magnetic moment (μB/f.u.) = 1.4
&SYSTEM
  ibrav = 0, nat = 4, ntyp = 3
/
ATOMIC_SPECIES
Si 28.09 Si.upf
Mo 95.94 Mo.upf
Br 79.90 Br.upf
CELL_PARAMETERS angstrom
5.095 0.000 0.000
0.000 3.678 0.000
0.000 0.000 3.678
ATOMIC_POSITIONS crystal
Si 0.000 0.000 0.000
Si 0.000 0.500 0.500
Mo 0.500 0.000 0.500
Br 0.500 0.500 0.000

***

[3]
! SmMoBr | Alexandria | PBE-GGA | relaxed; values from VASP
! - formation energy without anion corrections (eV per atom) = -0.24
! - magnetic moment (μB/f.u.) = 0.0
&SYSTEM
  ibrav = 0, nat = 6, ntyp = 3
/
ATOMIC_SPECIES
Sm 150.36 Sm.upf
Mo 95.94 Mo.upf
Br 79.90 Br.upf
CELL_PARAMETERS angstrom
-2.972 -1.290 -1.507
-3.937 -4.183 2.906
-5.355 5.544 1.491
ATOMIC_POSITIONS crystal
Sm 0.872 0.029 0.436
Sm 0.507 0.621 0.998
Mo 0.963 0.509 0.302
Br 0.257 0.558 0.622
Br 0.122 0.093 0.811
Mo 0.417 0.142 0.131